# Pr2InGePt6 | the Alexandria database | PBE | relaxed
data_Pr2InGePt6
_chemical_formula_sum 'Pr2 In1 Ge1 Pt6'
_cell_length_a 6.640
_cell_length_b 6.997
_cell_length_c 5.509
_cell_angle_alpha 66.83
_cell_angle_beta 65.52
_cell_angle_gamma 80.70
_symmetry_space_group_name_H-M 'P 1'
_symmetry_Int_Tables_number 1
loop_
_symmetry_equiv_pos_as_xyz
'x,y,z'
loop_
_atom_site_label
_atom_site_type_symbol
_atom_site_fract_x
_atom_site_fract_y
_atom_site_fract_z
In1 In 0.000 0.000 0.000
Pt1 Pt 0.267 0.256 0.488
Pt2 Pt 0.733 0.744 0.512
Pt3 Pt 0.267 0.256 0.989
Pt4 Pt 0.733 0.744 0.011
Pt5 Pt 0.096 0.594 0.155
Pt6 Pt 0.904 0.406 0.845
Pr1 Pr 0.288 0.791 0.461
Pr2 Pr 0.712 0.209 0.539
Ge1 Ge 0.500 0.500 0.000
# - DOS(E_F): 0.38 states/eV/atom
# - E_form: -0.73 eV per atom
# - Electronic total energy: -6.047 eV/atom
# - Magnetic moment: 0.00 Bohr magnetons per cell
# - SG: C2/m, No. 12
# - Crystal system: monoclinic

***

# Pr2InGe2Rh5 | the Alexandria database | PBE | relaxed
data_Pr2InGe2Rh5
_chemical_formula_sum 'Pr4 In2 Ge4 Rh10'
_cell_length_a 3.635
_cell_length_b 10.069
_cell_length_c 10.069
_cell_angle_alpha 90.00
_cell_angle_beta 90.00
_cell_angle_gamma 90.00
_symmetry_space_group_name_H-M 'P 1'
_symmetry_Int_Tables_number 1
loop_
_symmetry_equiv_pos_as_xyz
'x,y,z'
loop_
_atom_site_label
_atom_site_type_symbol
_atom_site_fract_x
_atom_site_fract_y
_atom_site_fract_z
Rh1 Rh 0.500 0.216 0.067
Rh2 Rh 0.500 0.000 0.500
Rh3 Rh 0.500 0.500 0.000
Rh4 Rh 0.500 0.716 0.433
Rh5 Rh 0.500 0.284 0.567
Rh6 Rh 0.500 0.933 0.216
Rh7 Rh 0.500 0.567 0.716
Rh8 Rh 0.500 0.067 0.784
Rh9 Rh 0.500 0.433 0.284
Rh10 Rh 0.500 0.784 0.933
In1 In 0.000 0.500 0.500
In2 In 0.000 0.000 0.000
Pr1 Pr 0.000 0.824 0.676
Pr2 Pr 0.000 0.324 0.824
Pr3 Pr 0.000 0.676 0.176
Pr4 Pr 0.000 0.176 0.324
Ge1 Ge 0.000 0.122 0.622
Ge2 Ge 0.000 0.878 0.378
Ge3 Ge 0.000 0.378 0.122
Ge4 Ge 0.000 0.622 0.878
# - DOS(E_F): 0.36 states/eV/atom
# - E_form: -0.71 eV per atom
# - Electronic total energy: -6.544 eV/atom
# - Magnetic moment: 0.00 Bohr magnetons per cell
# - SG: P4/mbm, No. 127
# - Crystal system: tetragonal

***

# Pr2InGe4Rh3 | the Alexandria database | PBE | relaxed
data_Pr2InGe4Rh3
_chemical_formula_sum 'Pr2 In1 Ge4 Rh3'
_cell_length_a 4.329
_cell_length_b 4.329
_cell_length_c 10.515
_cell_angle_alpha 90.00
_cell_angle_beta 90.00
_cell_angle_gamma 90.00
_symmetry_space_group_name_H-M 'P 1'
_symmetry_Int_Tables_number 1
loop_
_symmetry_equiv_pos_as_xyz
'x,y,z'
loop_
_atom_site_label
_atom_site_type_symbol
_atom_site_fract_x
_atom_site_fract_y
_atom_site_fract_z
Rh1 Rh 0.500 0.000 0.884
Rh2 Rh 0.000 0.000 0.500
Rh3 Rh 0.000 0.500 0.116
Pr1 Pr 0.500 0.000 0.235
Pr2 Pr 0.000 0.500 0.765
Ge1 Ge 0.000 0.000 0.000
Ge2 Ge 0.500 0.500 0.000
Ge3 Ge 0.500 0.000 0.654
Ge4 Ge 0.000 0.500 0.346
In1 In 0.500 0.500 0.500
# - DOS(E_F): 0.49 states/eV/atom
# - E_form: -0.73 eV per atom
# - Electronic total energy: -6.009 eV/atom
# - Magnetic moment: 0.00 Bohr magnetons per cell
# - SG: P-4m2, No. 115
# - Crystal system: tetragonal

***

# Pr2InGe3Rh4 | the Alexandria database | PBE | relaxed
data_Pr2InGe3Rh4
_chemical_formula_sum 'Pr2 In1 Ge3 Rh4'
_cell_length_a 4.289
_cell_length_b 4.289
_cell_length_c 10.535
_cell_angle_alpha 90.00
_cell_angle_beta 90.00
_cell_angle_gamma 90.00
_symmetry_space_group_name_H-M 'P 1'
_symmetry_Int_Tables_number 1
loop_
_symmetry_equiv_pos_as_xyz
'x,y,z'
loop_
_atom_site_label
_atom_site_type_symbol
_atom_site_fract_x
_atom_site_fract_y
_atom_site_fract_z
Rh1 Rh 0.000 0.000 0.000
Rh2 Rh 0.000 0.500 0.355
Rh3 Rh 0.500 0.000 0.645
Rh4 Rh 0.500 0.500 0.000
In1 In 0.500 0.500 0.500
Ge1 Ge 0.500 0.000 0.876
Ge2 Ge 0.000 0.000 0.500
Ge3 Ge 0.000 0.500 0.124
Pr1 Pr 0.000 0.500 0.755
Pr2 Pr 0.500 0.000 0.245
# - DOS(E_F): 0.72 states/eV/atom
# - E_form: -0.78 eV per atom
# - Electronic total energy: -6.337 eV/atom
# - Magnetic moment: 0.00 Bohr magnetons per cell
# - SG: P-4m2, No. 115
# - Crystal system: tetragonal

***

Repeat the second record exactly.
# Pr2InGe2Rh5 | the Alexandria database | PBE | relaxed
data_Pr2InGe2Rh5
_chemical_formula_sum 'Pr4 In2 Ge4 Rh10'
_cell_length_a 3.635
_cell_length_b 10.069
_cell_length_c 10.069
_cell_angle_alpha 90.00
_cell_angle_beta 90.00
_cell_angle_gamma 90.00
_symmetry_space_group_name_H-M 'P 1'
_symmetry_Int_Tables_number 1
loop_
_symmetry_equiv_pos_as_xyz
'x,y,z'
loop_
_atom_site_label
_atom_site_type_symbol
_atom_site_fract_x
_atom_site_fract_y
_atom_site_fract_z
Rh1 Rh 0.500 0.216 0.067
Rh2 Rh 0.500 0.000 0.500
Rh3 Rh 0.500 0.500 0.000
Rh4 Rh 0.500 0.716 0.433
Rh5 Rh 0.500 0.284 0.567
Rh6 Rh 0.500 0.933 0.216
Rh7 Rh 0.500 0.567 0.716
Rh8 Rh 0.500 0.067 0.784
Rh9 Rh 0.500 0.433 0.284
Rh10 Rh 0.500 0.784 0.933
In1 In 0.000 0.500 0.500
In2 In 0.000 0.000 0.000
Pr1 Pr 0.000 0.824 0.676
Pr2 Pr 0.000 0.324 0.824
Pr3 Pr 0.000 0.676 0.176
Pr4 Pr 0.000 0.176 0.324
Ge1 Ge 0.000 0.122 0.622
Ge2 Ge 0.000 0.878 0.378
Ge3 Ge 0.000 0.378 0.122
Ge4 Ge 0.000 0.622 0.878
# - DOS(E_F): 0.36 states/eV/atom
# - E_form: -0.71 eV per atom
# - Electronic total energy: -6.544 eV/atom
# - Magnetic moment: 0.00 Bohr magnetons per cell
# - SG: P4/mbm, No. 127
# - Crystal system: tetragonal